[1]
First-principles (PBE) data for a relaxed ZnAg15 crystal, as listed in the Open Quantum Materials Database.

a b c (Å): 4.1231 4.1259 46.6328
angles (deg): 90.00 90.00 90.00
With the nearest neighbours (Å) after each atom.
Atoms (fractional coordinates):
Ag (0.2500, 0.0000, 0.7530)  12 Ag 2.92-2.96
Ag (0.2500, 0.5000, 0.0671)  12 Ag 2.92-2.94
Ag (0.2500, 0.5000, 0.1569)  12 Ag 2.92-2.95
Ag (0.2500, 0.0000, 0.0224)  12 Ag 2.92-2.94
Ag (0.2500, 0.0000, 0.2925)  2 Zn 2.78, 10 Ag 2.91-2.96
Ag (0.7500, 0.0000, 0.9776)  12 Ag 2.92-2.94
Ag (0.7500, 0.0000, 0.1568)  12 Ag 2.92-2.95
Ag (0.7500, 0.5000, 0.1120)  12 Ag 2.92-2.94
Ag (0.2500, 0.5000, 0.9776)  12 Ag 2.92-2.94
Ag (0.7500, 0.5000, 0.8431)  12 Ag 2.92-2.95
Ag (0.7500, 0.0000, 0.0672)  12 Ag 2.92-2.94
Ag (0.7500, 0.5000, 0.2924)  2 Zn 2.79, 10 Ag 2.91-2.96
Ag (0.2500, 0.0000, 0.2020)  12 Ag 2.92-2.95
Ag (0.7500, 0.5000, 0.7526)  12 Ag 2.92-2.95
Zn (0.2500, 0.0000, 0.6674)  8 Ag 2.78-2.92
Ag (0.2500, 0.5000, 0.3365)  4 Ag 2.91, 4 Zn 2.92
Ag (0.7500, 0.5000, 0.2020)  12 Ag 2.92-2.95
Ag (0.7500, 0.0000, 0.7075)  2 Zn 2.78, 10 Ag 2.91-2.96
Ag (0.7500, 0.0000, 0.8880)  12 Ag 2.92-2.94
Ag (0.2500, 0.5000, 0.8880)  12 Ag 2.92-2.94
Zn (0.7500, 0.0000, 0.3326)  8 Ag 2.78-2.92
Ag (0.2500, 0.0000, 0.1120)  12 Ag 2.92-2.94
Ag (0.7500, 0.5000, 0.0224)  12 Ag 2.92-2.94
Ag (0.2500, 0.5000, 0.2474)  12 Ag 2.92-2.95
Ag (0.2500, 0.5000, 0.7980)  12 Ag 2.92-2.95
Ag (0.2500, 0.0000, 0.9328)  12 Ag 2.92-2.94
Ag (0.7500, 0.0000, 0.2470)  12 Ag 2.92-2.96
Ag (0.2500, 0.0000, 0.8432)  12 Ag 2.92-2.95
Ag (0.7500, 0.5000, 0.9329)  12 Ag 2.92-2.94
Ag (0.7500, 0.0000, 0.7980)  12 Ag 2.92-2.95
Ag (0.7500, 0.5000, 0.6635)  4 Ag 2.91, 4 Zn 2.92
Ag (0.2500, 0.5000, 0.7076)  2 Zn 2.79, 10 Ag 2.91-2.96

Computed properties:
**Offset from the most stable computed form**: 0 meV per atom
**Energy relative to the elements**: 1.07 kcal/mol of atoms

---

[2]
First-principles (PBE) data for a relaxed NdGd2In3Pd3 crystal, as listed in the Open Quantum Materials Database.

a b c (Å): 3.9728 7.7070 7.7070
angles (deg): 120.06 90.00 90.00
With the nearest neighbours (Å) after each atom.
Atoms (fractional coordinates):
Pd (0.0000, 0.0009, 0.0009)  6 In 2.78-2.80
Pd (0.5000, 0.3306, 0.6678)  3 In 2.87-2.94, 4 Gd 3.05, 2 Nd 3.08
Nd (0.0000, 0.5889, 0.5889)  5 Pd 3.08-3.17, 6 In 3.26-3.42
In (0.5000, 0.2529, 0.2529)  4 Pd 2.78-2.94
Gd (0.0000, 0.0002, 0.4106)  5 Pd 3.05-3.16, 6 In 3.25-3.40
Pd (0.5000, 0.6678, 0.3306)  3 In 2.87-2.94, 4 Gd 3.05, 2 Nd 3.08
In (0.5000, 0.0025, 0.7454)  4 Pd 2.80-2.94
In (0.5000, 0.7454, 0.0025)  4 Pd 2.80-2.94
Gd (0.0000, 0.4106, 0.0002)  5 Pd 3.05-3.16, 6 In 3.25-3.40

Computed properties:
**Spin magnetization**: 0.034 μB/f.u.

---

[3]
First-principles (PBE) data for a relaxed Nd3ZrO6 crystal, as listed in the Open Quantum Materials Database.

a b c (Å): 7.3637 7.3637 5.7163
angles (deg): 90.00 90.00 100.54
With the nearest neighbours (Å) after each atom.
Atoms (fractional coordinates):
O (0.4024, 0.9007, 0.8438)  1 Zr 2.04
O (0.5976, 0.0993, 0.3438)  1 Zr 2.04
O (0.0129, 0.9871, 0.7614)  2 Zr 2.23-2.38
Nd (0.6036, 0.3964, 0.0882)  7 O 2.35-2.62
O (0.6390, 0.6692, 0.3109)  4 Nd 2.33-2.37
O (0.3308, 0.3610, 0.3109)  4 Nd 2.33-2.37
Zr (0.8405, 0.1595, 0.5226)  4 O 2.03-2.23
O (0.3610, 0.3308, 0.8109)  4 Nd 2.33-2.37
O (0.9871, 0.0129, 0.2614)  2 Zr 2.23-2.38
O (0.0993, 0.5976, 0.8438)  1 Zr 2.04
O (0.6692, 0.6390, 0.8109)  4 Nd 2.33-2.37
Nd (0.3048, 0.0935, 0.5365)  6 O 2.33-2.50
O (0.9007, 0.4024, 0.3438)  1 Zr 2.04
Nd (0.0935, 0.3048, 0.0365)  6 O 2.33-2.50
Nd (0.9065, 0.6952, 0.5365)  6 O 2.33-2.50
O (0.2207, 0.7793, 0.3571)  1 Zr 2.03
Zr (0.1595, 0.8405, 0.0226)  4 O 2.03-2.23
O (0.7793, 0.2207, 0.8571)  1 Zr 2.03
Nd (0.3964, 0.6036, 0.5882)  7 O 2.35-2.62
Nd (0.6952, 0.9065, 0.0365)  6 O 2.33-2.50

Computed properties:
**Spin magnetization**: 0.005 μB/f.u.

---

[4]
First-principles (PBE) data for a relaxed TbTmCu2Si2 crystal, as listed in the Open Quantum Materials Database.

a b c (Å): 4.1227 4.1227 7.4519
angles (deg): 90.00 90.00 120.00
With the nearest neighbours (Å) after each atom.
Atoms (fractional coordinates):
Tm (0.0000, 0.0000, 0.5000)  6 Cu 2.99, 6 Si 3.00
Cu (0.3333, 0.6667, 0.2572)  3 Si 2.38
Si (0.6667, 0.3333, 0.2552)  3 Cu 2.38
Cu (0.6667, 0.3333, 0.7428)  3 Si 2.38
Tb (0.0000, 0.0000, 0.0000)  6 Si 3.05, 6 Cu 3.06
Si (0.3333, 0.6667, 0.7448)  3 Cu 2.38

Computed properties:
**Spin magnetization**: 0.006 μB/f.u.

---

Calculated total energy for the records above, in order: -2.6806 -5.0082 -8.4544 -5.2315 eV/atom